Material: NaPrNi4O12
Method: DFT, PBE+U
State: relaxed

Cell lengths 5.3658, 5.3658, 7.6989 Å; angles 90.00, 90.00, 90.00 degrees
Atoms (fractional coordinates):
O1 0.0000 0.5000 0.5000
Ni1 0.0000 0.5000 0.2450
Pr1 0.0000 0.0000 0.5000
O2 0.7611 0.7611 0.2625
O3 0.5000 0.0000 0.0000
O4 0.7611 0.2389 0.2625
O5 0.5000 0.0000 0.5000
O6 0.0000 0.5000 0.0000
O7 0.2389 0.2389 0.7375
Ni2 0.5000 0.0000 0.2450
O8 0.2389 0.2389 0.2625
Ni3 0.5000 0.0000 0.7550
Na1 0.5000 0.5000 0.0000
O9 0.7611 0.7611 0.7375
Ni4 0.0000 0.5000 0.7550
O10 0.2389 0.7611 0.7375
O11 0.2389 0.7611 0.2625
O12 0.7611 0.2389 0.7375

**Density**: 4.4 Mg/m³
**Density of states at the Fermi level**: 0.61 states/eV per atom
**Space-group type**: No. 123
**M_tot**: 12.12 μB per formula unit
**E_tot**: -84.67 eV for the cell shown